Compound: SnBIr
Source: OQMD via LeMat-Bulk
Functional: PBE
Structure: optimized geometry

Cell: 3.985 3.985 3.985 Å, 60.00 60.00 60.00°
Element x y z (fractional)
Sn1 0.000 0.000 0.000
B1 0.750 0.750 0.750
Ir1 0.500 0.500 0.500

Computed properties:
SG ... No. 216
Total magnetization ... 0.0 μB/f.u.
Energy above the most stable polymorph in this dataset ... 0 meV per atom
E ... -5.9445 eV/atom
Crystal system ... cubic

***

Compound: SrB4Ir
Source: OQMD via LeMat-Bulk
Functional: PBE
Structure: optimized geometry

Cell: 3.215 3.215 7.407 Å, 90.00 90.00 120.00°
Element x y z (fractional)
Sr1 0.000 0.000 0.000
B1 0.333 0.667 0.298
B2 0.333 0.667 0.702
B3 0.667 0.333 0.298
B4 0.667 0.333 0.702
Ir1 0.000 0.000 0.500

Computed properties:
SG ... No. 191
Total magnetization ... 0.0 μB/f.u.
Energy above the most stable polymorph in this dataset ... 0 meV per atom
E ... -6.0535 eV/atom
Crystal system ... hexagonal

***

Compound: SrBIr
Source: OQMD via LeMat-Bulk
Functional: PBE
Structure: optimized geometry

Cell: 4.629 4.629 4.629 Å, 60.00 60.00 60.00°
Element x y z (fractional)
Sr1 0.000 0.000 0.000
B1 0.750 0.750 0.750
Ir1 0.250 0.250 0.250

Computed properties:
SG ... No. 216
Total magnetization ... 0.0 μB/f.u.
Energy above the most stable polymorph in this dataset ... 1164 meV per atom
E ... -3.8848 eV/atom
Crystal system ... cubic

***

Compound: SrB4Ir
Source: OQMD via LeMat-Bulk
Functional: PBE
Structure: optimized geometry

Cell: 5.259 5.259 5.259 Å, 149.36 114.12 74.39°
Element x y z (fractional)
Sr1 0.000 0.000 0.000
B1 0.126 0.774 0.352
B2 0.422 0.774 0.648
B3 0.578 0.226 0.352
B4 0.874 0.226 0.648
Ir1 0.500 0.500 0.000

Computed properties:
SG ... No. 71
Total magnetization ... 0.0 μB/f.u.
Energy above the most stable polymorph in this dataset ... 117 meV per atom
E ... -5.9367 eV/atom
Crystal system ... orthorhombic

***

| no. | density (g/cm³) |
| --- | --- |
| 1 | 11.9 |
| 2 | 8.1 |
| 3 | 6.9 |
| 4 | 8.1 |